(1)
Mg3SbPd3 | PBE-GGA | relaxed

Lattice parameters (Å, degrees): 5.534 5.591 5.534 109.68 109.26 109.68
Sites, in units of the cell vectors:
Mg  0.500  0.004  0.000
Mg  0.500  0.504  0.500
Mg  0.000  0.004  0.500
Sb  0.000  0.503  0.000
Pd  0.500  0.504  0.000
Pd  0.500  0.003  0.500
Pd  0.000  0.504  0.500

## Properties
Energy: -28.548 eV/cell
Symmetry: R3m, No. 160


(2)
Mg3Sb2Pd8 | PBE-GGA | relaxed

Lattice parameters (Å, degrees): 5.423 5.423 9.940 74.17 74.17 60.00
Sites, in units of the cell vectors:
Mg  0.000  0.000  0.000
Mg  0.810  0.810  0.570
Mg  0.190  0.190  0.430
Sb  0.628  0.628  0.115
Sb  0.372  0.372  0.885
Pd  0.719  0.719  0.842
Pd  0.281  0.281  0.158
Pd  0.218  0.723  0.336
Pd  0.723  0.218  0.336
Pd  0.723  0.723  0.336
Pd  0.277  0.782  0.664
Pd  0.782  0.277  0.664
Pd  0.277  0.277  0.664

## Properties
Energy: -58.562 eV/cell
Symmetry: R-3m, No. 166


(3)
MgSbPd | PBE-GGA | relaxed

Lattice parameters (Å, degrees): 4.486 4.486 4.486 60.00 60.00 60.00
Sites, in units of the cell vectors:
Sb  0.000  0.000  0.000
Mg  0.500  0.500  0.500
Pd  0.750  0.750  0.750

## Properties
Energy: -12.777 eV/cell
Symmetry: F-43m, No. 216


(4)
Mg2SbPd | PBE-GGA | relaxed

Lattice parameters (Å, degrees): 7.737 7.737 6.195 51.35 51.35 90.00
Sites, in units of the cell vectors:
Sb  0.000  0.000  0.000
Sb  0.750  0.250  0.500
Mg  0.587  0.125  0.250
Mg  0.163  0.625  0.250
Mg  0.375  0.413  0.750
Mg  0.875  0.837  0.750
Pd  0.500  0.500  0.000
Pd  0.250  0.750  0.500

## Properties
Energy: -26.534 eV/cell
Symmetry: I-42d, No. 122


(5)
MgSbPd3 | PBE-GGA | relaxed

Lattice parameters (Å, degrees): 4.920 4.920 4.920 90.00 90.00 90.00
Sites, in units of the cell vectors:
Sb  0.000  0.000  0.000
Mg  0.500  0.500  0.500
Pd  0.000  0.500  0.000
Pd  0.000  0.000  0.500
Pd  0.500  0.000  0.000

## Properties
ΔE to the lowest computed polymorph: 633 meV per atom
Symmetry: Pm-3m, No. 221


(6)
Mg4SbPd2 | PBE-GGA | relaxed

Lattice parameters (Å, degrees): 4.699 4.699 14.491 90.00 90.00 120.02
Sites, in units of the cell vectors:
Mg  0.167  0.833  0.878
Mg  0.167  0.833  0.622
Mg  0.833  0.167  0.122
Mg  0.833  0.167  0.378
Mg  0.166  0.834  0.250
Mg  0.834  0.166  0.750
Mg  0.500  0.500  0.000
Mg  0.500  0.500  0.500
Sb  0.499  0.501  0.250
Sb  0.501  0.499  0.750
Pd  0.833  0.167  0.559
Pd  0.167  0.833  0.059
Pd  0.833  0.167  0.941
Pd  0.167  0.833  0.441

## Properties
Energy: -47.679 eV/cell
Symmetry: Cmcm, No. 63


(7)
Mg6SbPd12 | PBE-GGA | relaxed

Lattice parameters (Å, degrees): 7.111 7.111 7.111 103.05 103.05 103.05
Sites, in units of the cell vectors:
Mg  0.834  0.834  0.553
Mg  0.447  0.166  0.166
Mg  0.166  0.447  0.166
Mg  0.166  0.166  0.447
Mg  0.553  0.834  0.834
Mg  0.834  0.553  0.834
Sb  0.000  0.000  0.000
Pd  0.810  0.421  0.421
Pd  0.421  0.810  0.421
Pd  0.421  0.421  0.810
Pd  0.190  0.579  0.579
Pd  0.579  0.190  0.579
Pd  0.579  0.579  0.190
Pd  0.000  0.739  0.261
Pd  0.261  0.739  0.000
Pd  0.739  0.000  0.261
Pd  0.000  0.261  0.739
Pd  0.739  0.261  0.000
Pd  0.261  0.000  0.739

## Properties
Energy: -83.497 eV/cell
Symmetry: R-3m, No. 166


(8)
MgSb2Pd6 | PBE-GGA | relaxed

Lattice parameters (Å, degrees): 4.893 4.892 8.361 103.94 76.06 128.04
Sites, in units of the cell vectors:
Mg  0.000  0.000  0.500
Sb  0.315  0.685  0.750
Sb  0.685  0.315  0.250
Pd  0.664  0.337  0.934
Pd  0.336  0.663  0.066
Pd  0.002  0.998  0.179
Pd  0.352  0.648  0.413
Pd  0.998  0.002  0.821
Pd  0.648  0.352  0.587

## Properties
Energy: -45.318 eV/cell
Symmetry: C2/m, No. 12


(9)
MgSbPd3 | PBE-GGA | relaxed

Lattice parameters (Å, degrees): 4.127 5.519 8.701 69.65 90.00 90.00
Sites, in units of the cell vectors:
Mg  0.126  0.678  0.883
Mg  0.126  0.325  0.579
Sb  0.626  0.746  0.392
Sb  0.626  0.257  0.071
Pd  0.626  0.747  0.081
Pd  0.126  0.854  0.546
Pd  0.626  0.256  0.382
Pd  0.626  0.502  0.731
Pd  0.126  0.149  0.916
Pd  0.626  0.002  0.731

## Properties
ΔE to the lowest computed polymorph: 0 meV per atom
Symmetry: P2/m, No. 10


(10)
Mg2Sb2Pd3 | PBE-GGA | relaxed

Lattice parameters (Å, degrees): 4.665 4.598 7.810 89.91 107.68 119.55
Sites, in units of the cell vectors:
Mg  0.260  0.130  0.391
Mg  0.740  0.870  0.609
Sb  0.785  0.392  0.173
Sb  0.215  0.608  0.827
Pd  0.000  0.000  0.000
Pd  0.512  0.256  0.763
Pd  0.488  0.744  0.237

## Properties
Energy: -30.220 eV/cell
Symmetry: P-1, No. 2


(11)
MgSbPd | PBE-GGA | relaxed

Lattice parameters (Å, degrees): 3.756 3.756 4.977 112.17 112.17 90.00
Sites, in units of the cell vectors:
Sb  0.285  0.285  0.569
Mg  0.613  0.613  0.227
Pd  0.952  0.952  0.904

## Properties
Energy: -12.101 eV/cell
Symmetry: I4mm, No. 107


(12)
MgSbPd3 | PBE-GGA | relaxed

Lattice parameters (Å, degrees): 5.590 8.627 7.829 90.00 90.00 90.00
Sites, in units of the cell vectors:
Mg  0.462  0.514  0.750
Mg  0.038  0.014  0.250
Mg  0.538  0.486  0.250
Mg  0.962  0.986  0.750
Sb  0.000  0.500  0.000
Sb  0.500  0.000  0.500
Sb  0.500  0.000  0.000
Sb  0.000  0.500  0.500
Pd  0.786  0.237  0.072
Pd  0.714  0.737  0.572
Pd  0.714  0.737  0.928
Pd  0.214  0.763  0.572
Pd  0.214  0.763  0.928
Pd  0.286  0.263  0.428
Pd  0.286  0.263  0.072
Pd  0.786  0.237  0.428
Pd  0.069  0.296  0.750
Pd  0.431  0.796  0.250
Pd  0.931  0.704  0.250
Pd  0.569  0.204  0.750

## Properties
ΔE to the lowest computed polymorph: 100 meV per atom
Symmetry: Pnma, No. 62


no.,magnetization (μB per cell)
1,0.00
2,0.00
3,0.00
4,0.00
5,0.00
6,0.00
7,0.00
8,0.00
9,0.00
10,0.00
11,0.00
12,0.00